No. 1
First-principles (PBE) data for an optimized crystal structure of LaZrSb2, as listed in Alexandria.

Results
**Formation energy (no corrections)**: -42 meV per atom
**Space-group type**: R3m (160)
**Calculated density**: 6.78 Mg/m³
**Total magnetization**: 0.0 μB/f.u.
**Energy above the lowest structure with this stoichiometry**: 884.8 meV/atom
**DOS(E_F)**: 0.91 states/eV per atom

Unit cell a=3.4051 b=3.4051 c=34.6556 alpha=90.00 beta=90.00 gamma=120.00
With the nearest neighbours (Å) after each atom.
Positions (direct):
La: 0.0000 0.0000 0.0000  3 Sb 3.37, 6 La 3.41, 3 Zr 3.50
La: 0.3333 0.6667 0.6667  3 Sb 3.37, 6 La 3.41, 3 Zr 3.50
La: 0.6667 0.3333 0.3333  3 Sb 3.37, 6 La 3.41, 3 Zr 3.50
Zr: 0.0000 0.0000 0.7504  3 Sb 3.09, 6 Zr 3.41
Zr: 0.3333 0.6667 0.4170  3 Sb 3.09, 6 Zr 3.41
Zr: 0.6667 0.3333 0.0837  3 Sb 3.09, 6 Zr 3.41
Sb: 0.0000 0.0000 0.2544  3 La 3.37, 6 Sb 3.41
Sb: 0.0000 0.0000 0.4860  3 Zr 3.09, 6 Sb 3.41
Sb: 0.3333 0.6667 0.1527  3 Zr 3.09, 6 Sb 3.41
Sb: 0.3333 0.6667 0.9211  3 La 3.37, 6 Sb 3.41
Sb: 0.6667 0.3333 0.5878  3 La 3.37, 6 Sb 3.41
Sb: 0.6667 0.3333 0.8194  3 Zr 3.09, 6 Sb 3.41

No. 2
First-principles (PBE) data for an optimized crystal structure of LaZrSb2, as listed in Alexandria.

Results
**Formation energy (no corrections)**: -712 meV per atom
**Space-group type**: P4/mmm (123)
**Calculated density**: 7.45 Mg/m³
**Total magnetization**: 0.4 μB/f.u.
**Energy above the lowest structure with this stoichiometry**: 215.1 meV/atom
**DOS(E_F)**: 1.15 states/eV per atom

Unit cell a=3.6675 b=3.6675 c=7.8496 alpha=90.00 beta=90.00 gamma=90.00
With the nearest neighbours (Å) after each atom.
Positions (direct):
La: 0.0000 0.0000 0.0000  8 Sb 3.41, 4 La 3.67
Zr: 0.0000 0.0000 0.5000  8 Sb 3.11
Sb: 0.5000 0.5000 0.2819  4 Zr 3.11, 4 La 3.41, 1 Sb 3.42
Sb: 0.5000 0.5000 0.7181  4 Zr 3.11, 4 La 3.41, 1 Sb 3.42

No. 3
First-principles (PBE) data for an optimized crystal structure of La2ZrSb, as listed in Alexandria.

Results
**Formation energy (no corrections)**: -218 meV per atom
**Space-group type**: F-43m (216)
**Calculated density**: 7.36 Mg/m³
**Total magnetization**: 0.9 μB/f.u.
**DOS(E_F)**: 1.34 states/eV per atom

Unit cell a=7.6216 b=7.6216 c=7.6216 alpha=90.00 beta=90.00 gamma=90.00
With the nearest neighbours (Å) after each atom.
Positions (direct):
La: 0.0000 0.0000 0.0000  4 La 3.30, 4 Zr 3.30
La: 0.0000 0.5000 0.5000  4 La 3.30, 4 Zr 3.30
La: 0.2500 0.2500 0.2500  4 La 3.30, 4 Sb 3.30
La: 0.2500 0.7500 0.7500  4 La 3.30, 4 Sb 3.30
La: 0.5000 0.0000 0.5000  4 La 3.30, 4 Zr 3.30
La: 0.5000 0.5000 0.0000  4 La 3.30, 4 Zr 3.30
La: 0.7500 0.2500 0.7500  4 La 3.30, 4 Sb 3.30
La: 0.7500 0.7500 0.2500  4 La 3.30, 4 Sb 3.30
Zr: 0.2500 0.2500 0.7500  4 La 3.30, 4 Sb 3.30
Zr: 0.2500 0.7500 0.2500  4 La 3.30, 4 Sb 3.30
Zr: 0.7500 0.2500 0.2500  4 La 3.30, 4 Sb 3.30
Zr: 0.7500 0.7500 0.7500  4 Sb 3.30, 4 La 3.30
Sb: 0.0000 0.0000 0.5000  4 Zr 3.30, 4 La 3.30
Sb: 0.0000 0.5000 0.0000  4 Zr 3.30, 4 La 3.30
Sb: 0.5000 0.0000 0.0000  4 Zr 3.30, 4 La 3.30
Sb: 0.5000 0.5000 0.5000  4 Zr 3.30, 4 La 3.30